[1]
# SiNi2PtN (PBE-GGA, optimized geometry)
# * space group: P4/mmm, No. 123
# * raw formation energy: 0.67 eV/atom
data_SiNi2PtN
_symmetry_space_group_name_H-M 'P 1'
_symmetry_Int_Tables_number 1
_symmetry_space_group_name_Hall 'P 1'
_cell_length_a 4.4865
_cell_length_b 4.4865
_cell_length_c 3.2854
_cell_angle_alpha 90.00
_cell_angle_beta 90.00
_cell_angle_gamma 90.00
loop_
_atom_site_label
_atom_site_fract_x
_atom_site_fract_y
_atom_site_fract_z
_atom_site_occupancy
Si1 0.0000 0.0000 0.0000 1
Ni1 0.0000 0.5000 0.0000 1
Ni2 0.5000 0.0000 0.0000 1
Pt1 0.5000 0.5000 0.5000 1
N1 0.0000 0.0000 0.5000 1

---

[2]
# TcNi2PtN (PBE-GGA, optimized geometry)
# * space group: P4/mmm, No. 123
# * raw formation energy: 0.03 eV/atom
data_TcNi2PtN
_symmetry_space_group_name_H-M 'P 1'
_symmetry_Int_Tables_number 1
_symmetry_space_group_name_Hall 'P 1'
_cell_length_a 3.8846
_cell_length_b 3.8846
_cell_length_c 3.9375
_cell_angle_alpha 90.00
_cell_angle_beta 90.00
_cell_angle_gamma 90.00
loop_
_atom_site_label
_atom_site_fract_x
_atom_site_fract_y
_atom_site_fract_z
_atom_site_occupancy
Tc1 0.0000 0.0000 0.0000 1
Ni1 0.0000 0.5000 0.5000 1
Ni2 0.5000 0.0000 0.5000 1
Pt1 0.5000 0.5000 0.0000 1
N1 0.0000 0.0000 0.5000 1

---

[3]
# UNiPtN (PBE-GGA, optimized geometry)
# * space group: P4/nmm, No. 129
# * raw formation energy: -0.70 eV/atom
data_UNiPtN
_symmetry_space_group_name_H-M 'P 1'
_symmetry_Int_Tables_number 1
_symmetry_space_group_name_Hall 'P 1'
_cell_length_a 3.9552
_cell_length_b 3.9552
_cell_length_c 7.3099
_cell_angle_alpha 90.00
_cell_angle_beta 90.00
_cell_angle_gamma 90.00
loop_
_atom_site_label
_atom_site_fract_x
_atom_site_fract_y
_atom_site_fract_z
_atom_site_occupancy
U1 0.2500 0.2500 0.1534 1
U2 0.7500 0.7500 0.8466 1
Ni1 0.2500 0.2500 0.7232 1
Ni2 0.7500 0.7500 0.2768 1
Pt1 0.2500 0.7500 0.5000 1
Pt2 0.7500 0.2500 0.5000 1
N1 0.2500 0.7500 0.0000 1
N2 0.7500 0.2500 0.0000 1

---

[4]
# V2NiPtN (PBE-GGA, optimized geometry)
# * space group: P4/mmm, No. 123
# * raw formation energy: -0.56 eV/atom
data_V2NiPtN
_symmetry_space_group_name_H-M 'P 1'
_symmetry_Int_Tables_number 1
_symmetry_space_group_name_Hall 'P 1'
_cell_length_a 3.9229
_cell_length_b 3.9229
_cell_length_c 3.8389
_cell_angle_alpha 90.00
_cell_angle_beta 90.00
_cell_angle_gamma 90.00
loop_
_atom_site_label
_atom_site_fract_x
_atom_site_fract_y
_atom_site_fract_z
_atom_site_occupancy
V1 0.0000 0.5000 0.0000 1
V2 0.5000 0.0000 0.0000 1
Ni1 0.0000 0.0000 0.5000 1
Pt1 0.5000 0.5000 0.5000 1
N1 0.0000 0.0000 0.0000 1

---

[5]
# Y2NiPtN (PBE-GGA, optimized geometry)
# * space group: P4/mmm, No. 123
# * raw formation energy: -1.06 eV/atom
data_Y2NiPtN
_symmetry_space_group_name_H-M 'P 1'
_symmetry_Int_Tables_number 1
_symmetry_space_group_name_Hall 'P 1'
_cell_length_a 4.8407
_cell_length_b 4.8407
_cell_length_c 3.6967
_cell_angle_alpha 90.00
_cell_angle_beta 90.00
_cell_angle_gamma 90.00
loop_
_atom_site_label
_atom_site_fract_x
_atom_site_fract_y
_atom_site_fract_z
_atom_site_occupancy
Y1 0.0000 0.5000 0.0000 1
Y2 0.5000 0.0000 0.0000 1
Ni1 0.0000 0.0000 0.5000 1
Pt1 0.5000 0.5000 0.5000 1
N1 0.0000 0.0000 0.0000 1

---

[6]
# Zr2NiPtN (PBE-GGA, optimized geometry)
# * space group: P4/mmm, No. 123
# * raw formation energy: -0.98 eV/atom
data_Zr2NiPtN
_symmetry_space_group_name_H-M 'P 1'
_symmetry_Int_Tables_number 1
_symmetry_space_group_name_Hall 'P 1'
_cell_length_a 4.4793
_cell_length_b 4.4793
_cell_length_c 3.7841
_cell_angle_alpha 90.00
_cell_angle_beta 90.00
_cell_angle_gamma 90.00
loop_
_atom_site_label
_atom_site_fract_x
_atom_site_fract_y
_atom_site_fract_z
_atom_site_occupancy
Zr1 0.0000 0.5000 0.0000 1
Zr2 0.5000 0.0000 0.0000 1
Ni1 0.0000 0.0000 0.5000 1
Pt1 0.5000 0.5000 0.5000 1
N1 0.0000 0.0000 0.0000 1

---

[7]
# ZrNi2PtN (PBE-GGA, optimized geometry)
# * space group: P4/mmm, No. 123
# * raw formation energy: -0.55 eV/atom
data_ZrNi2PtN
_symmetry_space_group_name_H-M 'P 1'
_symmetry_Int_Tables_number 1
_symmetry_space_group_name_Hall 'P 1'
_cell_length_a 3.8957
_cell_length_b 3.8957
_cell_length_c 4.3303
_cell_angle_alpha 90.00
_cell_angle_beta 90.00
_cell_angle_gamma 90.00
loop_
_atom_site_label
_atom_site_fract_x
_atom_site_fract_y
_atom_site_fract_z
_atom_site_occupancy
Zr1 0.0000 0.0000 0.0000 1
Ni1 0.0000 0.5000 0.5000 1
Ni2 0.5000 0.0000 0.5000 1
Pt1 0.5000 0.5000 0.0000 1
N1 0.0000 0.0000 0.5000 1

---

[8]
# PuNiN (PBE-GGA, optimized geometry)
# * space group: Pnma, No. 62
# * raw formation energy: -0.18 eV/atom
data_PuNiN
_symmetry_space_group_name_H-M 'P 1'
_symmetry_Int_Tables_number 1
_symmetry_space_group_name_Hall 'P 1'
_cell_length_a 7.3658
_cell_length_b 3.4774
_cell_length_c 6.1250
_cell_angle_alpha 90.00
_cell_angle_beta 90.00
_cell_angle_gamma 90.00
loop_
_atom_site_label
_atom_site_fract_x
_atom_site_fract_y
_atom_site_fract_z
_atom_site_occupancy
Pu1 0.1083 0.2500 0.0443 1
Pu2 0.3917 0.7500 0.5443 1
Pu3 0.6083 0.2500 0.4557 1
Pu4 0.8917 0.7500 0.9557 1
Ni1 0.0739 0.2500 0.5943 1
Ni2 0.4261 0.7500 0.0943 1
Ni3 0.5739 0.2500 0.9057 1
Ni4 0.9261 0.7500 0.4057 1
N1 0.1293 0.7500 0.6975 1
N2 0.3707 0.2500 0.1975 1
N3 0.6293 0.7500 0.8025 1
N4 0.8707 0.2500 0.3025 1